[1]
This record from the Alexandria database describes a geometry-optimized Pr2AgPt2 structure. The functional is PBE.

Properties
For the final energy, the calculation gives -57.777 eV for the cell shown. The total magnetization comes out at 0.000 μB per cell. As for the space-group type: P4/mbm. Its calculated volume is 240.5 Å³ per cell. For the density, the calculation gives 10.77 g/cm³. For the formation energy, the calculation gives -4.397 eV per formula unit.

Cell and atoms, written as POSCAR:
```
Pr2AgPt2
1.0
-3.137 2.234 -0.424
-1.120 -2.945 -7.221
-4.485 -5.724 3.030
Pr Ag Pt
4 2 4
Direct
0.500 0.170 0.670
0.500 0.670 0.830
0.500 0.830 0.330
0.500 0.330 0.170
0.000 0.000 0.000
0.000 0.500 0.500
0.000 0.369 0.869
0.000 0.869 0.631
0.000 0.631 0.131
0.000 0.131 0.369
```


[2]
This record from the Alexandria database describes a geometry-optimized MnVSb2Te structure. The functional is PBE.

Properties
Its offset from the most stable computed form is 0.00 eV/f.u. For the final energy, the calculation gives -26.661 eV for the cell shown. The total magnetization comes out at 5.371 μB per cell. The calculation puts the uncorrected formation energy at 58.1 kJ per mole of atoms. As for the space-group type: P4/mmm. Its calculated volume is 137.7 Å³ per cell. For the density, the calculation gives 5.75 g/cm³.

Cell and atoms, written as POSCAR:
```
MnVSb2Te
1.0
-3.623 0.342 -3.653
-3.502 -1.856 3.299
-1.101 4.821 1.544
Sb Te Mn V
2 1 1 1
Direct
0.000 0.500 0.000
0.500 0.000 0.000
0.000 0.000 0.500
0.500 0.500 0.500
0.000 0.000 0.000
```